No. 1
{"formula": "Tc2HPb2", "functional": "PBE", "state": "relaxed", "relative_energy_mev_per_atom": 0, "n_ef_per_ev_cell": 5.74, "cell": [[-3.6911, 2.5432, -4.2171], [-1.0030, -5.5479, -2.4679], [-3.5220, -0.5792, 2.7333]], "species": ["Pb", "Pb", "Pb", "Pb", "H", "H", "Tc", "Tc", "Tc", "Tc"], "frac_coords": [[0.1702, 0.6702, 0.5000], [0.6702, 0.8298, 0.5000], [0.8298, 0.3298, 0.5000], [0.3298, 0.1702, 0.5000], [0.0000, 0.0000, 0.0000], [0.5000, 0.5000, 0.0000], [0.3425, 0.8425, 0.0000], [0.8425, 0.6575, 0.0000], [0.6575, 0.1575, 0.0000], [0.1575, 0.3425, 0.0000]]}

***

No. 2
{"formula": "TcH4Pb2", "functional": "PBE", "state": "relaxed", "n_ef_per_ev_cell": 2.72, "energy_ev_per_atom": -4.247, "cell": [[3.6330, 0.0000, 0.0000], [0.0000, 3.6330, 0.0000], [1.8165, 1.8165, 6.8429]], "species": ["Pb", "Pb", "H", "H", "H", "H", "Tc"], "frac_coords": [[0.6396, 0.6396, 0.7208], [0.3604, 0.3604, 0.2792], [0.8705, 0.8705, 0.2589], [0.1295, 0.1295, 0.7411], [0.0000, 0.5000, 0.0000], [0.5000, 0.0000, 0.0000], [0.0000, 0.0000, 0.0000]]}